No. 1
This record from the Alexandria database describes a crystal of NaCu5Se2Cl3O8 relaxed with PBEsol. The functional is meta-GGA SCAN.

Cell lengths 17.510, 6.409, 10.393 Å; angles 90.00, 90.00, 90.00 degrees
Space group Pnma (No. 62)
One atom of each set of equivalent atoms:
Na 0.099 0.250 0.227 x4
Cu 0.098 0.750 0.998 x4
Cu 0.126 0.750 0.496 x4
Cu 0.222 0.750 0.221 x4
Cu 0.240 0.505 0.963 x8
Se 0.070 0.250 0.917 x4
Se 0.110 0.250 0.582 x4
Cl 0.027 0.750 0.623 x4
Cl 0.089 0.750 0.243 x4
Cl 0.249 0.750 0.736 x4
O 0.008 0.250 0.046 x4
O 0.128 0.045 0.971 x8
O 0.149 0.049 0.487 x8
O 0.167 0.250 0.715 x4
O 0.205 0.750 0.042 x4
O 0.224 0.750 0.402 x4

Calculated values
- formation energy (no corrections) (eV per atom) = -0.949

No. 2
This record from the Alexandria database describes a crystal of KHg2Mo relaxed with PBEsol. The functional is meta-GGA SCAN.

Cell lengths 2.808, 5.441, 11.660 Å; angles 90.00, 90.00, 90.00 degrees
Space group Imm2 (No. 44)
One atom of each set of equivalent atoms:
K 0.000 0.000 0.000 x2
Hg 0.000 0.000 0.521 x2
Hg 0.000 0.500 0.772 x2
Mo 0.000 0.500 0.228 x2

Calculated values
- formation energy (eV/atom) = 0.64
- DOS(E_F) (states/eV/f.u.) = 1.8

No. 3
This record from the Alexandria database describes a crystal of Co2Sb relaxed with PBEsol. The functional is meta-GGA SCAN.

Cell lengths 3.279, 3.279, 7.588 Å; angles 90.00, 90.00, 90.00 degrees
Space group I4/mmm (No. 139)
One atom of each set of equivalent atoms:
Co 0.000 0.000 0.168 x4
Sb 0.000 0.000 0.500 x2

Calculated values
- DOS(E_F) (states/eV/f.u.) = 2.2
- formation energy (no corrections) (eV per atom) = 0.351

No. 4
This record from the Alexandria database describes a crystal of BeAs2Rh relaxed with PBEsol. The functional is meta-GGA SCAN.

Cell lengths 4.068, 4.068, 3.450 Å; angles 90.00, 90.00, 90.00 degrees
Space group P4/mmm (No. 123)
One atom of each set of equivalent atoms:
Be 0.000 0.000 0.000 x1
As 0.000 0.500 0.500 x2
Rh 0.500 0.500 0.000 x1

Calculated values
- formation energy (eV/atom) = 0.10
- DOS(E_F) (states/eV/f.u.) = 1.7

What did the third record say?
This record from the Alexandria database describes a crystal of Co2Sb relaxed with PBEsol. The functional is meta-GGA SCAN.

Cell lengths 3.279, 3.279, 7.588 Å; angles 90.00, 90.00, 90.00 degrees
Space group I4/mmm (No. 139)
One atom of each set of equivalent atoms:
Co 0.000 0.000 0.168 x4
Sb 0.000 0.000 0.500 x2

Calculated values
- DOS(E_F) (states/eV/f.u.) = 2.2
- formation energy (no corrections) (eV per atom) = 0.351